# 1
Density functional theory data (PBE-GGA) for CdAsSCl2 after structural relaxation.

The calculation puts the total energy at -13.8 eV per cell. The crystal system is tetragonal. Its density of states at the Fermi level is 0.41 states/eV/atom. The value obtained for the formation energy without anion corrections is -92 meV/atom. Its relative energy among the computed polymorphs is 0 meV per atom.

The structure belongs to space group P4/mmm (No. 123); the cell edges are 4.964, 4.964 and 4.992 Å and the angles 90.00°, 90.00° and 90.00°. The asymmetric unit holds Cd at (0.000, 0.000, 0.000), As at (0.500, 0.500, 0.500), S at (0.500, 0.500, 0.000) and Cl at (0.000, 0.500, 0.500).



# 2
Density functional theory data (PBE-GGA) for TaAs3Au after structural relaxation.

The calculation puts the total energy at -26.7 eV per cell. The crystal system is cubic. The calculation puts the formation energy at 478 meV/atom. Its density of states at the Fermi level is 0.70 states/eV/atom. Its relative energy among the computed polymorphs is 0 meV per atom.

The structure belongs to space group Pm-3m (No. 221); the cell edges are 4.971, 4.971 and 4.971 Å and the angles 90.00°, 90.00° and 90.00°. The asymmetric unit holds Ta at (0.000, 0.000, 0.000), As at (0.000, 0.000, 0.500) and Au at (0.500, 0.500, 0.500).



# 3
Density functional theory data (PBE-GGA) for SbMoIr2 after structural relaxation.

The calculation puts the total energy at -32.0 eV per cell. The crystal system is orthorhombic. Its density of states at the Fermi level is 0.72 states/eV/atom. The value obtained for the formation energy without anion corrections is 179 meV/atom.

The structure belongs to space group Pmm2 (No. 25); the cell edges are 2.909, 3.841 and 5.953 Å and the angles 90.00°, 90.00° and 90.00°. The asymmetric unit holds Sb at (0.000, 0.000, 0.000), Mo at (0.500, 0.500, 0.696), Ir at (0.000, 0.000, 0.495) and Ir at (0.500, 0.500, 0.236).



# 4
Density functional theory data (PBE-GGA) for MoPb after structural relaxation.

The calculation puts the total energy at -80.1 eV per cell. The crystal system is orthorhombic. The calculation puts the formation energy at 597 meV/atom. Its density of states at the Fermi level is 0.74 states/eV/atom. Its relative energy among the computed polymorphs is 271 meV per atom.

The structure belongs to space group Pmmn (No. 59, origin choice 2); the cell edges are 3.340, 12.598 and 6.776 Å and the angles 90.00°, 90.00° and 90.00°. The asymmetric unit holds Mo at (0.250, 0.152, 0.022), Mo at (0.250, 0.750, 0.752), Pb at (0.250, 0.250, 0.625) and Pb at (0.250, 0.514, 0.710).



# 5
Density functional theory data (PBE-GGA) for NpTlCdI6 after structural relaxation.

The calculation puts the total energy at -63.6 eV per cell. The crystal system is trigonal. Its density of states at the Fermi level is 0.59 states/eV/atom. The value obtained for the formation energy without anion corrections is -699 meV/atom.

The structure belongs to space group P-31c (No. 163); the cell edges are 7.9979, 7.9979 and 15.0627 Å and the angles 90.00°, 90.00° and 120.00°. The asymmetric unit holds Np at (0.3333, 0.6667, 0.2500), Tl at (0.0000, 0.0000, 0.0000), Cd at (0.3333, 0.6667, 0.7500) and I at (0.0078, 0.3690, 0.6352).



# 6
Density functional theory data (PBE-GGA) for LuPuIrPt after structural relaxation.

The calculation puts the total energy at -147.9 eV per cell. The crystal system is cubic. The calculation puts the formation energy at -808 meV/atom. Its density of states at the Fermi level is 2.49 states/eV/atom.

The structure belongs to space group F-43m (No. 216); the cell edges are 6.866, 6.866 and 6.866 Å and the angles 90.00°, 90.00° and 90.00°. The asymmetric unit holds Lu at (0.000, 0.000, 0.000), Pu at (0.000, 0.000, 0.500), Ir at (0.250, 0.250, 0.250) and Pt at (0.250, 0.250, 0.750).



# 7
Density functional theory data (PBE-GGA) for Hf2TaBe2Co5 after structural relaxation.

The calculation puts the total energy at -158.5 eV per cell. The crystal system is tetragonal. The calculation puts the formation energy at -450 meV/atom. Its density of states at the Fermi level is 0.45 states/eV/atom.

The structure belongs to space group P4/mbm (No. 127); the cell edges are 8.798, 8.798 and 3.213 Å and the angles 90.00°, 90.00° and 90.00°. The asymmetric unit holds Hf at (0.175, 0.325, 0.000), Ta at (0.000, 0.000, 0.000), Be at (0.118, 0.618, 0.000), Co at (0.000, 0.500, 0.500) and Co at (0.069, 0.784, 0.500).



# 8
Density functional theory data (PBE-GGA) for Ca2Ac3Pr4 after structural relaxation.

The calculation puts the total energy at -136.6 eV per cell. The crystal system is monoclinic. The calculation puts the formation energy at 145 meV/atom. Its density of states at the Fermi level is 1.39 states/eV/atom.

The structure belongs to space group C2/c (No. 15); the cell edges are 12.088, 18.397 and 6.563 Å and the angles 90.00°, 94.12° and 90.00°. The asymmetric unit holds Ca at (0.145, 0.159, 0.347), Ac at (0.000, 0.235, 0.750), Ac at (0.150, 0.342, 0.133), Pr at (0.114, 0.450, 0.624) and Pr at (0.122, 0.038, 0.900).



# 9
Density functional theory data (PBE-GGA) for HoPu2Pb3 after structural relaxation.

The calculation puts the total energy at -45.9 eV per cell. The crystal system is tetragonal. The calculation puts the formation energy at -255 meV/atom. Its density of states at the Fermi level is 2.77 states/eV/atom.

The structure belongs to space group P4/mmm (No. 123); the cell edges are 3.477, 3.477 and 13.830 Å and the angles 90.00°, 90.00° and 90.00°. The asymmetric unit holds Ho at (0.000, 0.000, 0.000), Pu at (0.000, 0.000, 0.332), Pb at (0.500, 0.500, 0.162) and Pb at (0.500, 0.500, 0.500).



# 10
Density functional theory data (PBE-GGA) for CsTaGaNi2 after structural relaxation.

The calculation puts the total energy at -15.5 eV per cell. The crystal system is tetragonal. The calculation puts the formation energy at 2353 meV/atom. Its density of states at the Fermi level is 1.22 states/eV/atom.

The structure belongs to space group P4/mmm (No. 123); the cell edges are 4.628, 4.628 and 5.444 Å and the angles 90.00°, 90.00° and 90.00°. The asymmetric unit holds Cs at (0.000, 0.000, 0.000), Ta at (0.500, 0.500, 0.500), Ga at (0.000, 0.000, 0.500) and Ni at (0.000, 0.500, 0.000).



# 11
Density functional theory data (PBE-GGA) for Li3Al3Cu5 after structural relaxation.

The calculation puts the total energy at -35.3 eV per cell. The crystal system is hexagonal. The calculation puts the formation energy at 193 meV/atom. Its density of states at the Fermi level is 0.39 states/eV/atom.

The structure belongs to space group P-62m (No. 189); the cell edges are 8.5463, 8.5463 and 2.5585 Å and the angles 90.00°, 90.00° and 120.00°. The asymmetric unit holds Li at (0.0000, 0.8330, 0.0000), Al at (0.0000, 0.5663, 0.5000), Cu at (0.0000, 0.3226, 0.0000) and Cu at (0.3333, 0.6667, 0.0000).



# 12
Density functional theory data (PBE-GGA) for TlNi2MoS after structural relaxation.

The calculation puts the total energy at -25.8 eV per cell. The crystal system is tetragonal. Its density of states at the Fermi level is 0.92 states/eV/atom. The value obtained for the formation energy without anion corrections is 612 meV/atom.

The structure belongs to space group P4/mmm (No. 123); the cell edges are 4.722, 4.722 and 4.557 Å and the angles 90.00°, 90.00° and 90.00°. The asymmetric unit holds Tl at (0.000, 0.000, 0.000), Ni at (0.000, 0.500, 0.500), Mo at (0.500, 0.500, 0.500) and S at (0.500, 0.500, 0.000).